This record from Alexandria via LeMat-Bulk describes CaMg5Rh2 after structural relaxation. The functional is PBE-GGA.

Geometry as POSCAR:
```
CaMg5Rh2
1.0
-0.433 -2.494 3.464
6.139 -1.662 2.228
1.012 3.767 5.495
Ca Mg Rh
1 5 2
Direct
0.000 0.000 0.000
0.000 0.500 0.500
0.670 0.511 0.149
0.330 0.489 0.851
0.330 0.851 0.489
0.670 0.149 0.511
0.738 0.762 0.762
0.262 0.238 0.238
```

Results
energy of formation from the pure elements = -249 kJ/mol of formula units
symmetry = No. 71
crystal system = orthorhombic

***

This record from Alexandria via LeMat-Bulk describes NaZr2Au2 after structural relaxation. The functional is PBE-GGA.

Geometry as POSCAR:
```
NaZr2Au2
1.0
8.444 0.000 0.000
0.000 8.444 0.000
0.000 0.000 3.044
Na Au Zr
2 4 4
Direct
0.000 0.000 0.000
0.500 0.500 0.000
0.366 0.866 0.000
0.866 0.634 0.000
0.634 0.134 0.000
0.134 0.366 0.000
0.161 0.661 0.500
0.661 0.839 0.500
0.839 0.339 0.500
0.339 0.161 0.500
```

Results
energy of formation from the pure elements = -131 kJ/mol of formula units
excess energy over the best structure of this formula in the dataset = 0.00 eV/f.u.
symmetry = No. 127
crystal system = tetragonal

***

This record from Alexandria via LeMat-Bulk describes NbCr2SbC after structural relaxation. The functional is PBE-GGA.

Geometry as POSCAR:
```
NbCr2SbC
1.0
4.012 0.000 0.000
0.000 4.297 0.000
0.000 0.000 4.012
Sb Nb C Cr
1 1 1 2
Direct
0.500 0.500 0.500
0.000 0.500 0.000
0.000 0.000 0.000
0.000 0.000 0.500
0.500 0.000 0.000
```

Results
energy relative to the elements, uncorrected = 0.105 eV/atom
symmetry = No. 123
crystal system = tetragonal

***

Calculated D(E_F), 3.59, 2.79, 4.84 states/eV/f.u. (same order as the records).